The following is a DFT calculation (GGA-PBEsol) of a geometry-optimized Li2NiOs structure.

## Properties
Volume = 48.78 Å³/cell
E = -0.4011 Ry/atom
SG = C2/m (12)
Energy above the lowest structure with this stoichiometry = 0.021 eV per atom

Cell lengths 5.0645, 5.0645, 2.4848 Å; angles 102.94, 102.94, 120.82 degrees
Last column: nearest neighbours and their distance in Å.
Sites, in units of the cell vectors:
Li: 0.0000 0.5000 0.0000  6 Li 2.48-2.61, 2 Ni 2.56, 2 Os 2.56
Li: 0.5000 0.0000 0.0000  6 Li 2.48-2.61, 2 Os 2.56, 2 Ni 2.56
Ni: 0.0000 0.0000 0.5000  2 Ni 2.48, 4 Os 2.50-2.61, 4 Li 2.56
Os: 0.5000 0.5000 0.5000  2 Os 2.48, 4 Ni 2.50-2.61, 4 Li 2.56



The following is a DFT calculation (GGA-PBEsol) of a geometry-optimized NdFe10Si2 structure.

## Properties
Volume = 158.60 Å³/cell
E = -0.6171 Ry/atom
SG = Immm (71)

Cell lengths 6.2920, 6.2920, 6.2920 Å; angles 136.77, 98.17, 97.43 degrees
Last column: nearest neighbours and their distance in Å.
Sites, in units of the cell vectors:
Nd: 0.0000 0.0000 0.0000  16 Fe 2.93-3.15, 4 Si 3.06
Fe: 0.0000 0.0000 0.5000  8 Fe 2.32-2.54, 2 Si 2.37
Fe: 0.0000 0.5000 0.0000  8 Fe 2.32-2.54, 2 Si 2.37
Fe: 0.2181 0.5000 0.7181  8 Fe 2.39-2.59
Fe: 0.3564 0.0000 0.3564  7 Fe 2.37-2.58, 2 Si 2.45
Fe: 0.3630 0.3630 0.0000  5 Fe 2.27-2.54, 2 Si 2.53
Fe: 0.5000 0.0000 0.0000  8 Fe 2.32-2.54, 2 Si 2.37
Fe: 0.5000 0.5000 0.5000  8 Fe 2.32-2.54, 2 Si 2.37
Fe: 0.6370 0.6370 0.0000  5 Fe 2.27-2.54, 2 Si 2.53
Fe: 0.6436 0.0000 0.6436  7 Fe 2.37-2.58, 2 Si 2.45
Fe: 0.7819 0.5000 0.2819  8 Fe 2.39-2.59
Si: 0.2411 0.7411 0.5000  8 Fe 2.37-2.53
Si: 0.7589 0.2589 0.5000  8 Fe 2.37-2.53



The following is a DFT calculation (GGA-PBEsol) of a geometry-optimized MgBiSb2 structure.

## Properties
Volume = 297.91 Å³/cell
E = -0.2711 Ry/atom
SG = I-42d (122)

Cell lengths 8.2878, 8.2878, 8.2878 Å; angles 133.12, 133.12, 68.47 degrees
Last column: nearest neighbours and their distance in Å.
Sites, in units of the cell vectors:
Mg: 0.0000 0.0000 0.0000  4 Sb 2.81
Mg: 0.7500 0.2500 0.5000  4 Sb 2.81
Bi: 0.2500 0.7500 0.5000  4 Sb 2.99
Bi: 0.5000 0.5000 0.0000  4 Sb 2.99
Sb: 0.1008 0.6250 0.9758  2 Mg 2.81, 2 Bi 2.99
Sb: 0.3750 0.3508 0.4758  2 Mg 2.81, 2 Bi 2.99
Sb: 0.6492 0.1250 0.0242  2 Mg 2.81, 2 Bi 2.99
Sb: 0.8750 0.8992 0.5242  2 Mg 2.81, 2 Bi 2.99



The following is a DFT calculation (GGA-PBEsol) of a geometry-optimized YTc2P structure.

## Properties
Volume = 63.47 Å³/cell
E = -0.6375 Ry/atom
SG = F-43m (216)

Cell lengths 4.4775, 4.4775, 4.4775 Å; angles 60.00, 60.00, 60.00 degrees
Last column: nearest neighbours and their distance in Å.
Sites, in units of the cell vectors:
Y: 0.0000 0.0000 0.0000  4 Tc 2.74, 4 P 2.74
Tc: 0.2500 0.2500 0.2500  4 Tc 2.74, 4 Y 2.74
Tc: 0.5000 0.5000 0.5000  4 P 2.74, 4 Tc 2.74
P: 0.7500 0.7500 0.7500  4 Tc 2.74, 4 Y 2.74